[1]
Below is a relaxed LaHfAg crystal, with properties calculated at the PBE-GGA level.

abc: 6.004 6.004 6.004
angles: 120.96 89.25 119.91
Element x y z (fractional)
La  0.128  0.250  0.378
La  0.872  0.750  0.622
Hf  0.496  0.963  0.033
Hf  0.929  0.463  0.967
Ag  0.459  0.459  0.000
Ag  0.459  0.959  0.500

Properties
* excess energy over the best structure of this formula in the dataset: 0.071 eV/atom
* space group: Ima2
* spin magnetization: 0.00 μB/cell
* formation energy: 36 meV/atom



[2]
Below is a relaxed ZnHgAu crystal, with properties calculated at the PBE-GGA level.

abc: 4.481 4.481 3.497
angles: 90.00 90.00 120.00
Element x y z (fractional)
Zn  0.000  0.000  0.000
Hg  0.333  0.667  0.508
Au  0.667  0.333  0.015

Properties
* excess energy over the best structure of this formula in the dataset: 0.035 eV/atom
* space group: P3m1
* spin magnetization: 0.00 μB/cell
* formation energy: 35 meV/atom